1.
# Pu8Ge2Pt

Crystalline Pu8Ge2Pt at its relaxed geometry (GGA-PBE, the Alexandria database).

Calculated values
DFT total energy   -12.0618 eV/atom
Theoretical density   15.5 g/cm³

Unit cell a=5.1765 b=6.6009 c=8.1508 alpha=110.07 beta=108.51 gamma=90.00
Closest atoms and distances in Å follow each position.
Fractional coordinates of all 11 atoms:
Pu  0.9991  0.2734  0.9983  4 Pu 2.98-3.10, 2 Ge 3.14-3.24, 2 Pt 3.16
Pu  0.1817  0.1973  0.3634  2 Pu 2.78-3.04, 1 Ge 3.10
Pu  0.3886  0.5490  0.7771  1 Pu 2.55, 1 Pt 2.85
Pu  0.3514  0.1402  0.7028  2 Pu 2.55-2.78, 1 Pt 2.77
Pu  0.6486  0.8598  0.2972  2 Pu 2.55-2.78, 1 Pt 2.77
Pu  0.8183  0.8027  0.6366  2 Pu 2.78-3.04, 1 Ge 3.10
Pu  0.0009  0.7266  0.0017  4 Pu 2.98-3.10, 2 Ge 3.14-3.24, 2 Pt 3.16
Pu  0.6114  0.4510  0.2229  1 Pu 2.55, 1 Pt 2.85
Pt  0.5000  0.0000  0.0000  4 Pu 2.77-2.85
Ge  0.8044  0.3228  0.6088  11 Pu 3.04-3.38
Ge  0.1956  0.6772  0.3912  11 Pu 3.04-3.38

=====

2.
# NpUC2

Crystalline NpUC2 at its relaxed geometry (GGA-PBE, the Alexandria database).

Calculated values
DFT total energy   -10.6516 eV/atom
Theoretical density   13.6 g/cm³

Unit cell a=3.5080 b=3.5080 c=6.0525 alpha=73.15 beta=73.15 gamma=60.00
Closest atoms and distances in Å follow each position.
Fractional coordinates of all 4 atoms:
C  0.2559  0.2559  0.2324  3 U 2.42, 3 Np 2.54
C  0.7441  0.7441  0.7676  3 U 2.42, 3 Np 2.54
U  0.0000  0.0000  0.0000  6 C 2.42
Np  0.5000  0.5000  0.5000  6 C 2.54

=====

3.
# Ce3Nd3MgSe8

Crystalline Ce3Nd3MgSe8 at its relaxed geometry (GGA-PBE, the Alexandria database).

Calculated values
Theoretical density   6.0 g/cm³
Raw formation energy   -1.758 eV per atom

Unit cell a=8.3825 b=8.3825 c=8.4072 alpha=119.90 beta=90.00 gamma=120.00
Closest atoms and distances in Å follow each position.
Fractional coordinates of all 15 atoms:
Se  0.7505  0.5009  0.7513  3 Ce 2.96, 3 Nd 2.97
Se  0.2388  0.0010  0.7397  1 Mg 2.83, 2 Ce 2.97, 2 Nd 2.98
Se  0.2388  0.4777  0.7398  1 Mg 2.84, 2 Ce 2.97, 2 Nd 2.98
Se  0.7612  0.5223  0.2602  1 Mg 2.84, 2 Ce 2.97, 2 Nd 2.98
Se  0.7612  0.9990  0.2603  1 Mg 2.83, 2 Ce 2.97, 2 Nd 2.98
Se  0.7620  0.0009  0.7399  1 Mg 2.84, 2 Ce 2.97, 2 Nd 2.98
Se  0.2380  0.9991  0.2601  1 Mg 2.84, 2 Ce 2.97, 2 Nd 2.98
Se  0.2495  0.4991  0.2487  3 Ce 2.96, 3 Nd 2.97
Ce  0.0000  0.0000  0.0000  6 Se 2.96-2.97
Ce  0.5000  0.5000  0.0000  6 Se 2.96-2.97
Ce  0.0000  0.5000  0.0000  6 Se 2.96-2.97
Nd  0.5000  0.5000  0.5000  6 Se 2.97-2.98
Nd  0.5000  0.0000  0.5000  6 Se 2.97-2.98
Nd  0.0000  0.5000  0.5000  6 Se 2.97-2.98
Mg  0.0000  0.0000  0.5000  6 Se 2.83-2.84

=====

4.
# Ac2PrSb4Rh3

Crystalline Ac2PrSb4Rh3 at its relaxed geometry (GGA-PBE, the Alexandria database).

Calculated values
Theoretical density   9.0 g/cm³
Raw formation energy   -0.827 eV per atom

Unit cell a=4.6492 b=4.6492 c=11.9250 alpha=90.00 beta=90.00 gamma=90.00
Closest atoms and distances in Å follow each position.
Fractional coordinates of all 10 atoms:
Rh  0.0000  0.5000  0.1090  5 Sb 2.66-2.67
Rh  0.0000  0.0000  0.5000  4 Sb 3.06, 4 Pr 3.29
Rh  0.5000  0.0000  0.8910  5 Sb 2.66-2.67
Pr  0.5000  0.5000  0.5000  4 Sb 3.06, 4 Rh 3.29
Sb  0.5000  0.0000  0.6667  1 Rh 2.67
Sb  0.0000  0.5000  0.3333  1 Rh 2.67
Sb  0.0000  0.0000  0.0000  4 Rh 2.66
Sb  0.5000  0.5000  0.0000  4 Rh 2.66
Ac  0.0000  0.5000  0.7769  8 Sb 3.53-3.54, 4 Rh 3.56
Ac  0.5000  0.0000  0.2231  8 Sb 3.53-3.54, 4 Rh 3.56

=====

5.
# BaCoAs2

Crystalline BaCoAs2 at its relaxed geometry (GGA-PBE, the Alexandria database).

Calculated values
DFT total energy   -4.6590 eV/atom
Theoretical density   6.9 g/cm³

Unit cell a=3.3988 b=3.4018 c=7.2213 alpha=90.00 beta=90.00 gamma=90.00
Closest atoms and distances in Å follow each position.
Fractional coordinates of all 4 atoms:
As  0.0000  0.0000  0.9203  1 As 2.46, 4 Co 2.70
As  0.0000  0.0000  0.5797  1 As 2.46, 4 Co 2.70
Co  0.5000  0.5000  0.7500  8 As 2.70
Ba  0.5000  0.5000  0.2500  8 As 3.38, 4 Ba 3.40, 2 Co 3.61

=====

6.
# Pm3Er6Tm2Sc

Crystalline Pm3Er6Tm2Sc at its relaxed geometry (GGA-PBE, the Alexandria database).

Calculated values
DFT total energy   -4.7102 eV/atom
Theoretical density   8.2 g/cm³

Unit cell a=6.1039 b=6.1039 c=11.6407 alpha=95.01 beta=95.01 gamma=119.96
Closest atoms and distances in Å follow each position.
Fractional coordinates of all 12 atoms:
Tm  0.3335  0.6665  0.0000  6 Er 3.46, 3 Tm 3.52-3.53, 3 Sc 3.52
Tm  0.6665  0.3335  0.0000  6 Er 3.46, 3 Tm 3.52-3.53, 3 Sc 3.52
Er  0.4118  0.0806  0.2437  1 Sc 3.45, 2 Tm 3.46, 6 Er 3.50-3.54, 3 Pm 3.57-3.58
Er  0.5882  0.9194  0.7563  1 Sc 3.45, 2 Tm 3.46, 6 Er 3.50-3.54, 3 Pm 3.57-3.58
Er  0.7494  0.7494  0.2438  1 Sc 3.45, 2 Tm 3.46, 6 Er 3.50-3.54, 3 Pm 3.57-3.58
Er  0.9194  0.5882  0.7563  1 Sc 3.45, 2 Tm 3.46, 6 Er 3.50-3.54, 3 Pm 3.57-3.58
Er  0.2506  0.2506  0.7562  1 Sc 3.45, 2 Tm 3.46, 6 Er 3.50-3.54, 3 Pm 3.57-3.58
Er  0.0806  0.4118  0.2437  1 Sc 3.45, 2 Tm 3.46, 6 Er 3.50-3.54, 3 Pm 3.57-3.58
Sc  0.0000  0.0000  0.0000  6 Er 3.45, 6 Tm 3.52
Pm  0.1666  0.8334  0.5000  6 Pm 3.52-3.53, 6 Er 3.57-3.58
Pm  0.8334  0.1666  0.5000  6 Pm 3.52-3.53, 6 Er 3.57-3.58
Pm  0.5000  0.5000  0.5000  6 Pm 3.52, 6 Er 3.57-3.58

=====

| no. | Fermi-level density of states (states/eV/cell) |
| --- | --- |
| 1 | 43.4 |
| 2 | 8.7 |
| 3 | 20.9 |
| 4 | 4.8 |
| 5 | 2.3 |
| 6 | 17.2 |